Compound: NaYMoO5
Source: Alexandria via LeMat-Bulk
Functional: PBE with a Hubbard U
Structure: optimized geometry

Calculated values
Electronic total energy (eV per cell): -115.1
Symmetry: C2/c (15)
Total magnetization (μB/cell): 0.00

Cell and atoms, written as extended XYZ:
```
16
Lattice="3.679 -4.965 0.000 3.679 4.965 0.000 -2.999 0.000 7.404" Properties=species:S:1:pos:R:3 pbc="T T T"
Na 1.429 3.022 5.553
Na 2.929 -3.022 1.851
Y 3.679 0.000 0.000
Y 2.179 0.000 3.702
Mo 2.929 3.178 1.851
Mo 1.429 -3.178 5.553
O -1.470 0.733 6.780
O 1.730 2.111 2.672
O 0.029 -0.733 3.078
O 4.128 2.111 1.030
O 1.429 0.803 5.553
O 2.929 -0.803 1.851
O 0.230 -2.111 6.374
O 4.329 0.733 4.326
O 2.628 -2.111 4.731
O 5.829 -0.733 0.624
```